A relaxed NaNiAsS3 crystal, computed with PBE.

Properties
* VASP energy: -4.4527 eV/atom
* magnetization: 1.10 μB per formula unit
* E_form (uncorrected): -2.58 eV per formula unit

abc: 3.737 8.258 8.578
angles: 96.97 90.00 90.00
Each line ends with the local moment (μB).
Fractional positions:
S 0.250 0.602 0.869  0.01
S 0.750 0.183 0.493  0.17
S 0.750 0.398 0.131  0.01
S 0.250 0.817 0.507  0.17
S 0.750 0.852 0.153  0.08
S 0.250 0.148 0.847  0.08
As 0.250 0.646 0.134  0.00
As 0.750 0.354 0.866  0.00
Na 0.750 0.849 0.797  0.00
Na 0.250 0.151 0.203  0.00
Ni 0.250 0.081 0.580  0.67
Ni 0.750 0.919 0.420  0.67